(1)
Material: NbSb2PdSe
Method: DFT, PBE
State: relaxed

Calculated values
Raw total energy   -4.671 eV per atom
DOS(E_F)   6.660 states/eV per cell
SG   P4/mmm

Cell lengths 5.3344, 4.9434, 5.3344 Å; angles 90.00, 90.00, 90.00 degrees
Last column: magnetic moment on the atom in μB.
Fractional positions:
Sb1 0.0000 0.0000 0.5000  0.01
Sb2 0.5000 0.0000 0.0000  0.00
Nb1 0.0000 0.0000 0.0000  0.30
Se1 0.5000 0.5000 0.5000  0.04
Pd1 0.0000 0.5000 0.0000  0.07

(2)
Material: SiP2C
Method: DFT, PBE
State: relaxed

Calculated values
Raw total energy   -5.952 eV per atom
DOS(E_F)   0.915 states/eV per cell
Excess energy over the best structure of this formula in the dataset   219 meV/atom
SG   Cm

Cell lengths 4.4217, 3.3533, 8.2082 Å; angles 90.00, 100.19, 90.00 degrees
Fractional positions:
P1 0.7236 0.0000 0.1060
P2 0.7236 0.5000 0.6060
P3 0.2959 0.0000 0.7512
P4 0.2959 0.5000 0.2512
Si1 0.9638 0.0000 0.5015
Si2 0.9638 0.5000 0.0015
C1 0.0612 0.0000 0.2898
C2 0.0612 0.5000 0.7898

Q: Among the records above, which one has the highest DOS(E_F)?
A: NbSb2PdSe

Q: Which formula does entry 1 have?
A: NbSb2PdSe